--- i ---
Density functional theory data (PBE) for an optimized crystal structure of Nd5N4.

```
Nd5N4
1.0
3.6462 0.0000 1.0596
1.8231 7.2559 0.5298
-0.2017 0.0000 7.4975
Nd N
5 4
Direct
0.6040 0.6339 0.1582
0.7622 0.8418 0.6339
0.2378 0.1582 0.3661
0.3960 0.3661 0.8418
0.0000 0.0000 0.0000
0.8083 0.3330 0.0503
0.8587 0.9497 0.3330
0.1413 0.0503 0.6670
0.1917 0.6670 0.9497
```

Summary:
- crystal system = tetragonal



--- ii ---
Density functional theory data (PBE) for an optimized crystal structure of Nd5N4.

```
Nd5N4
1.0
-2.1936 1.8551 1.4637
-6.5802 -4.1014 -1.1122
0.1252 -2.8164 7.3082
Nd N
5 4
Direct
0.7414 0.2586 0.2586
0.2586 0.7414 0.7414
0.0000 0.0000 0.0000
0.0000 0.7414 0.2586
0.0000 0.2586 0.7414
0.6382 0.0000 0.7236
0.3618 0.2764 0.0000
0.3618 0.0000 0.2764
0.6382 0.7236 0.0000
```

Summary:
- crystal system = tetragonal



Decreasing stability: i, ii



--- i ---
Density functional theory data (PBE) for an optimized crystal structure of Nd2NpN3.

```
Nd2NpN3
1.0
6.0814 -0.0182 -1.0191
-3.2762 5.1235 -1.0191
-0.0071 -0.0129 6.2040
Nd Np N
4 2 6
Direct
0.8333 0.1666 0.5000
0.3333 0.6667 0.0000
0.1683 0.8317 0.5000
0.4984 0.5016 0.5000
0.0002 0.9998 0.0000
0.6664 0.3336 0.0000
0.6175 0.9508 0.7799
0.0492 0.3825 0.2201
0.9022 0.5924 0.7760
0.2590 0.2355 0.7760
0.4076 0.0978 0.2240
0.7645 0.7410 0.2240
```

Summary:
- crystal system = monoclinic



--- ii ---
Density functional theory data (PBE) for an optimized crystal structure of Nd2NpN3.

```
Nd2NpN3
1.0
6.2553 -0.3634 -0.2589
0.3704 6.0701 0.3452
0.3704 2.3092 5.6243
Nd Np N
4 2 6
Direct
0.7499 0.1608 0.4925
0.2499 0.4925 0.1608
0.7501 0.5075 0.8392
0.2501 0.8392 0.5075
0.7500 0.8892 0.1108
0.2500 0.1108 0.8892
0.2500 0.4276 0.5724
0.7500 0.5724 0.4276
0.0000 0.8391 0.8390
0.5000 0.1610 0.1609
0.5000 0.8390 0.8391
0.0000 0.1609 0.1610
```

Summary:
- crystal system = orthorhombic



Decreasing stability: i, ii



--- i ---
Density functional theory data (PBE) for an optimized crystal structure of Nd2NO.

```
Nd2NO
1.0
3.5451 0.0000 0.0000
0.0000 6.0867 0.0000
0.0000 0.0000 6.1481
Nd N O
4 2 2
Direct
0.0000 0.2570 0.3339
0.0000 0.7430 0.6661
0.5000 0.2430 0.8339
0.5000 0.7570 0.1661
0.5000 0.5000 0.5000
0.0000 0.0000 0.0000
0.0000 0.5000 0.0000
0.5000 0.0000 0.5000
```

Summary:
- crystal system = orthorhombic



--- ii ---
Density functional theory data (PBE) for an optimized crystal structure of Nd2NO.

```
Nd2NO
1.0
3.5989 0.0000 0.0000
1.7995 3.1168 0.0000
1.7995 1.0389 5.9394
Nd O N
2 1 1
Direct
0.7529 0.7529 0.7414
0.2471 0.2471 0.2586
0.0000 0.0000 0.0000
0.5000 0.5000 0.5000
```

Summary:
- crystal system = trigonal



--- iii ---
Density functional theory data (PBE) for an optimized crystal structure of Nd2NO.

```
Nd2NO
1.0
3.5390 0.0000 0.0000
1.7695 3.0649 0.0000
1.7695 1.0216 6.2072
Nd N O
2 1 1
Direct
0.0779 0.0779 0.7663
0.2559 0.2559 0.2322
0.6680 0.6680 0.9961
0.4982 0.4982 0.5055
```

Summary:
- crystal system = trigonal



Decreasing stability: ii, i, iii